Entry 1:
First-principles (PBE) data for a relaxed NdHoRu crystal, as listed in Alexandria via LeMat-Bulk.

Its excess energy over the best structure of this formula in the dataset is 0.199 eV/atom. The formation energy comes out at -0.2 eV per formula unit.

It has space group P3m1 (No. 156), with a = 4.7534 Å, b = 4.7534 Å, c = 3.6891 Å, α = 90.00°, β = 90.00° and γ = 120.00°. Symmetry generates all atoms from Nd at (0.0000, 0.0000, 0.0000), Ho at (0.6667, 0.3333, 0.5484) and Ru at (0.3333, 0.6667, 0.3119).

=====

Entry 2:
First-principles (PBE) data for a relaxed YCuN2 crystal, as listed in Alexandria via LeMat-Bulk.

The calculation puts the raw formation energy at 182.8 meV per atom. Its excess energy over the best structure of this formula in the dataset is 0.338 eV/atom.

It has space group Fm-3m (No. 225), with a = 5.689 Å, b = 5.689 Å, c = 5.689 Å, α = 90.00°, β = 90.00° and γ = 90.00°. Symmetry generates all atoms from Y at (0.000, 0.000, 0.000), Cu at (0.000, 0.000, 0.500) and N at (0.250, 0.250, 0.250).

=====

Entry 3:
First-principles (PBE) data for a relaxed PmPr3Dy4 crystal, as listed in Alexandria via LeMat-Bulk.

The formation energy comes out at 0.2 eV per formula unit.

It has space group Pmn2_1 (No. 31), with a = 11.662 Å, b = 7.348 Å, c = 6.328 Å, α = 90.00°, β = 90.00° and γ = 90.00°. Symmetry generates all atoms from Pm at (0.000, 0.129, 0.000), Pr at (0.000, 0.872, 0.499), Pr at (0.250, 0.128, 0.336), Dy at (0.000, 0.379, 0.502), Dy at (0.000, 0.621, 0.001) and Dy at (0.250, 0.379, 0.834).

=====

Entry 4:
First-principles (PBE) data for a relaxed NaLiTcO4 crystal, as listed in Alexandria via LeMat-Bulk.

The calculation puts the raw formation energy at -1650.6 meV per atom.

It has space group Cmcm (No. 63), with a = 6.298 Å, b = 9.414 Å, c = 6.634 Å, α = 90.00°, β = 90.00° and γ = 90.00°. Symmetry generates all atoms from Na at (0.000, 0.000, 0.000), Li at (0.000, 0.350, 0.250), Tc at (0.000, 0.359, 0.750), O at (0.000, 0.261, 0.521) and O at (0.219, 0.484, 0.750).

=====

Entry 5:
First-principles (PBE) data for a relaxed Ta2MoPt crystal, as listed in Alexandria via LeMat-Bulk.

The formation energy comes out at -0.7 eV per formula unit.

It has space group P4mm (No. 99), with a = 2.778 Å, b = 2.778 Å, c = 8.796 Å, α = 90.00°, β = 90.00° and γ = 90.00°. Symmetry generates all atoms from Ta at (0.000, 0.000, 0.000), Ta at (0.500, 0.500, 0.266), Mo at (0.000, 0.000, 0.530) and Pt at (0.500, 0.500, 0.757).

=====

Entry 6:
First-principles (PBE) data for a relaxed HgIrOs crystal, as listed in Alexandria via LeMat-Bulk.

Its excess energy over the best structure of this formula in the dataset is 0.260 eV/atom. The formation energy comes out at 2.1 eV per formula unit.

It has space group Fmm2 (No. 42), with a = 2.776 Å, b = 4.912 Å, c = 14.775 Å, α = 90.00°, β = 90.00° and γ = 90.00°. Symmetry generates all atoms from Hg at (0.000, 0.000, 0.000), Ir at (0.000, 0.000, 0.675) and Os at (0.000, 0.000, 0.324).